(1)
Here is a relaxed GeHSeN2 crystal from the Alexandria database. Energies are from PBE-GGA.

Structure (POSCAR):
```
GeHSeN2
1.0
4.146 0.000 0.000
0.000 4.146 0.000
0.000 0.000 3.219
H Ge Se N
1 1 1 2
Direct
0.000 0.000 0.000 H
0.500 0.500 0.500 Ge
0.000 0.000 0.500 Se
0.000 0.500 0.000 N
0.500 0.000 0.000 N
```

Size of the total moment (μB/cell): 0.96
Energy above the most stable polymorph in this dataset (eV/atom): 0.267

(2)
Here is a relaxed GeH10Se3N4 crystal from the Alexandria database. Energies are from PBE-GGA.

Structure (POSCAR):
```
GeH10Se3N4
1.0
-1.712 -7.755 -10.721
-8.731 -2.132 11.239
-2.105 10.832 -7.500
Ge H Se N
8 80 24 32
Direct
0.707 0.414 0.207 Ge
0.207 0.414 0.707 Ge
0.457 0.914 0.457 Ge
0.957 0.914 0.957 Ge
0.557 0.113 0.057 Ge
0.057 0.113 0.557 Ge
0.307 0.613 0.307 Ge
0.807 0.613 0.807 Ge
0.858 0.197 0.338 H
0.839 0.197 0.838 H
0.588 0.697 0.089 H
0.088 0.697 0.108 H
0.339 0.197 0.858 H
0.358 0.197 0.358 H
0.108 0.697 0.608 H
0.608 0.697 0.589 H
0.552 0.341 0.777 H
0.289 0.341 0.277 H
0.027 0.841 0.539 H
0.527 0.841 0.802 H
0.789 0.341 0.564 H
0.052 0.341 0.064 H
0.814 0.841 0.302 H
0.314 0.841 0.039 H
0.022 0.341 0.315 H
0.819 0.341 0.815 H
0.565 0.841 0.069 H
0.065 0.841 0.272 H
0.319 0.341 0.026 H
0.522 0.341 0.526 H
0.276 0.841 0.772 H
0.776 0.841 0.569 H
0.482 0.184 0.693 H
0.203 0.184 0.193 H
0.943 0.684 0.453 H
0.443 0.684 0.732 H
0.703 0.184 0.491 H
0.982 0.184 0.991 H
0.741 0.684 0.232 H
0.241 0.684 0.953 H
0.549 0.331 0.947 H
0.282 0.331 0.447 H
0.197 0.831 0.532 H
0.697 0.831 0.799 H
0.782 0.331 0.384 H
0.049 0.331 0.884 H
0.634 0.831 0.299 H
0.134 0.831 0.032 H
0.062 0.338 0.432 H
0.776 0.338 0.932 H
0.682 0.838 0.026 H
0.182 0.838 0.312 H
0.276 0.338 0.906 H
0.562 0.338 0.406 H
0.156 0.838 0.812 H
0.656 0.838 0.526 H
0.937 0.124 0.331 H
0.687 0.124 0.831 H
0.581 0.624 0.937 H
0.081 0.624 0.187 H
0.187 0.124 0.794 H
0.437 0.124 0.294 H
0.044 0.624 0.687 H
0.544 0.624 0.437 H
0.494 0.181 0.869 H
0.187 0.181 0.369 H
0.119 0.681 0.437 H
0.619 0.681 0.744 H
0.687 0.181 0.312 H
0.994 0.181 0.812 H
0.562 0.681 0.244 H
0.062 0.681 0.937 H
0.896 0.125 0.211 H
0.729 0.125 0.711 H
0.461 0.625 0.979 H
0.961 0.625 0.146 H
0.229 0.125 0.914 H
0.396 0.125 0.414 H
0.164 0.625 0.646 H
0.664 0.625 0.479 H
0.623 0.270 0.787 H
0.147 0.270 0.287 H
0.037 0.770 0.397 H
0.537 0.770 0.873 H
0.647 0.270 0.484 H
0.123 0.270 0.984 H
0.734 0.770 0.373 H
0.234 0.770 0.897 H
0.495 0.264 0.139 Se
0.268 0.264 0.639 Se
0.389 0.764 0.518 Se
0.889 0.764 0.745 Se
0.768 0.264 0.125 Se
0.995 0.264 0.625 Se
0.375 0.764 0.245 Se
0.875 0.764 0.018 Se
0.500 0.004 0.850 Se
0.003 0.004 0.350 Se
0.100 0.504 0.253 Se
0.600 0.504 0.750 Se
0.503 0.004 0.154 Se
0.000 0.004 0.654 Se
0.404 0.504 0.250 Se
0.904 0.504 0.753 Se
0.765 0.522 0.414 Se
0.256 0.522 0.914 Se
0.664 0.022 0.506 Se
0.164 0.022 0.015 Se
0.756 0.522 0.108 Se
0.265 0.522 0.608 Se
0.358 0.022 0.515 Se
0.858 0.022 0.006 Se
0.490 0.252 0.869 N
0.262 0.252 0.369 N
0.119 0.752 0.512 N
0.619 0.752 0.740 N
0.762 0.252 0.383 N
0.990 0.252 0.883 N
0.633 0.752 0.240 N
0.133 0.752 0.012 N
0.034 0.288 0.341 N
0.755 0.288 0.841 N
0.591 0.788 0.005 N
0.091 0.788 0.284 N
0.255 0.288 0.947 N
0.534 0.288 0.447 N
0.197 0.788 0.784 N
0.697 0.788 0.505 N
0.540 0.263 0.776 N
0.223 0.263 0.276 N
0.026 0.763 0.473 N
0.526 0.763 0.790 N
0.723 0.263 0.487 N
0.040 0.263 0.987 N
0.737 0.763 0.290 N
0.237 0.763 0.973 N
0.922 0.177 0.304 N
0.754 0.177 0.804 N
0.554 0.677 0.004 N
0.054 0.677 0.172 N
0.254 0.177 0.873 N
0.422 0.177 0.373 N
0.123 0.677 0.672 N
0.623 0.677 0.504 N
```

Size of the total moment (μB/cell): 0.00
Raw total energy (eV/cell): -687.3